## KSrAu3 (PBE)

Data for a relaxed KSrAu3 crystal.

Values from the calculation:
Space group: Pm-3m (221)
Uncorrected energy (eV/atom): -2.67
Offset from the most stable computed form (meV per atom): 389

Cell and atoms, written as POSCAR:
```
KSrAu3
1.0
5.940 0.000 0.000
0.000 5.940 0.000
0.000 0.000 5.940
K Sr Au
1 1 3
Direct
0.000 0.000 0.000
0.500 0.500 0.500
0.000 0.500 0.500
0.500 0.000 0.500
0.500 0.500 0.000
```